[1]
Computed, not measured: a relaxed structure of HfCd2Pt5 at the GGA-PBE level of DFT.

Computed properties:
The energy relative to the elements comes out at -0.686 eV/atom.

Cell: 4.1038 4.1038 16.1539 Å, 90.00 90.00 90.00°
Space group I4/mmm (No. 139)
Symmetry-distinct sites (fractional):
Hf (0.0000, 0.0000, 0.0000) x2
Cd (0.0000, 0.0000, 0.2539) x4
Pt (0.0000, 0.0000, 0.5000) x2
Pt (0.0000, 0.5000, 0.1205) x8

---

[2]
Computed, not measured: a relaxed structure of LiHBrO at the GGA-PBE level of DFT.

Cell: 3.7252 4.2393 4.2821 Å, 99.67 107.21 105.05°
Space group P1 (No. 1)
Symmetry-distinct sites (fractional):
Li (0.0000, 0.0000, 0.0000) x1
H (0.4860, 0.2503, 0.7546) x1
Br (0.9989, 0.5975, 0.4050) x1
O (0.4972, 0.0988, 0.9046) x1

---

[3]
Computed, not measured: a relaxed structure of CoRe2SnSe at the GGA-PBE level of DFT.

Cell: 4.6473 4.6473 4.2133 Å, 90.00 90.00 90.00°
Space group P4/mmm (No. 123)
Symmetry-distinct sites (fractional):
Co (0.0000, 0.0000, 0.0000) x1
Re (0.0000, 0.5000, 0.5000) x2
Sn (0.5000, 0.5000, 0.0000) x1
Se (0.0000, 0.0000, 0.5000) x1

---

[4]
Computed, not measured: a relaxed structure of CaMgTa2 at the GGA-PBE level of DFT.

Computed properties:
The energy relative to the elements comes out at 0.640 eV/atom.

Cell: 4.9213 4.9213 6.9107 Å, 90.00 90.00 90.00°
Space group I-4m2 (No. 119)
Symmetry-distinct sites (fractional):
Ca (0.0000, 0.0000, 0.0000) x2
Mg (0.0000, 0.5000, 0.2500) x2
Ta (0.0000, 0.0000, 0.5000) x2
Ta (0.0000, 0.5000, 0.7500) x2

---

[5]
Computed, not measured: a relaxed structure of HoErZnRu at the GGA-PBE level of DFT.

Computed properties:
The energy relative to the elements comes out at -0.387 eV/atom.

Cell: 6.9016 6.9016 6.9016 Å, 90.00 90.00 90.00°
Space group F-43m (No. 216)
Symmetry-distinct sites (fractional):
Ho (0.0000, 0.0000, 0.0000) x4
Er (0.0000, 0.0000, 0.5000) x4
Zn (0.2500, 0.2500, 0.7500) x4
Ru (0.2500, 0.2500, 0.2500) x4

---

[6]
Computed, not measured: a relaxed structure of BaPuPaN3 at the GGA-PBE level of DFT.

Cell: 7.6542 3.7269 9.0641 Å, 90.00 103.75 90.00°
Space group P2_1/m (No. 11)
Symmetry-distinct sites (fractional):
Ba (0.1841, 0.2500, 0.1778) x2
Pu (0.0498, 0.2500, 0.5775) x2
Pa (0.3429, 0.7500, 0.8567) x2
N (0.1383, 0.2500, 0.8351) x2
N (0.2243, 0.7500, 0.6102) x2
N (0.4500, 0.7500, 0.1069) x2

---

The records above give, respectively, M_tot values of 0.00 0.00 1.19 0.00 0.00 1.64 Bohr magnetons per cell.
The records above give, respectively, DFT total energy values of -5.935 -3.984 -6.624 -6.185 -5.310 -9.411 eV/atom.